{
  "formula": "YRhSN2",
  "functional": "PBE-GGA",
  "state": "optimized geometry",
  "lattice_angstrom": [[-2.279, -3.595, -0.935], [1.060, 0.421, -4.206], [4.433, -3.023, 0.815]],
  "species": ["Y", "S", "Rh", "N", "N"],
  "frac_coords": [[0.000, 0.000, 0.000], [0.000, 0.000, 0.500], [0.500, 0.500, 0.500], [0.000, 0.500, 0.000], [0.500, 0.000, 0.000]],
  "polymorph_energy_mev_per_atom": 1172.9,
  "total_magnetization_mub_per_atom": 1.12,
  "volume_a3_per_atom": 20.61
}

{
  "formula": "YRhSN2",
  "functional": "PBE-GGA",
  "state": "optimized geometry",
  "lattice_angstrom": [[-2.962, 0.637, 2.515], [-2.560, -1.340, -2.675], [0.513, -4.428, 1.727]],
  "species": ["Y", "S", "Rh", "N", "N"],
  "frac_coords": [[0.500, 0.500, 0.500], [0.000, 0.000, 0.500], [0.000, 0.000, 0.000], [0.000, 0.500, 0.000], [0.500, 0.000, 0.000]],
  "polymorph_energy_mev_per_atom": 0.0,
  "total_magnetization_mub_per_atom": 0.00,
  "volume_a3_per_atom": 14.82
}

{
  "formula": "ZnRhSN2",
  "functional": "PBE-GGA",
  "state": "optimized geometry",
  "lattice_angstrom": [[-0.517, 3.055, -2.112], [1.966, -1.584, -2.773], [-4.524, -2.139, -1.986]],
  "species": ["Zn", "Rh", "S", "N", "N"],
  "frac_coords": [[0.500, 0.500, 0.500], [0.000, 0.000, 0.000], [0.000, 0.000, 0.500], [0.000, 0.500, 0.000], [0.500, 0.000, 0.000]],
  "polymorph_energy_mev_per_atom": 0.0,
  "total_magnetization_mub_per_atom": 0.01,
  "volume_a3_per_atom": 15.14
}

{
  "formula": "ZnRhSN2",
  "functional": "PBE-GGA",
  "state": "optimized geometry",
  "lattice_angstrom": [[-3.328, 1.376, -0.962], [-1.678, -2.802, 1.796], [-0.083, 2.815, 4.313]],
  "species": ["Zn", "Rh", "S", "N", "N"],
  "frac_coords": [[0.000, 0.000, 0.000], [0.500, 0.500, 0.500], [0.000, 0.000, 0.500], [0.000, 0.500, 0.000], [0.500, 0.000, 0.000]],
  "polymorph_energy_mev_per_atom": 773.8,
  "total_magnetization_mub_per_atom": 0.45,
  "volume_a3_per_atom": 14.31
}

{
  "formula": "ZnRhS2N",
  "functional": "PBE-GGA",
  "state": "optimized geometry",
  "lattice_angstrom": [[4.739, 0.000, 0.000], [0.000, 4.739, 0.000], [0.000, 0.000, 3.621]],
  "species": ["Zn", "Rh", "S", "S", "N"],
  "frac_coords": [[0.000, 0.000, 0.000], [0.500, 0.500, 0.500], [0.000, 0.500, 0.000], [0.500, 0.000, 0.000], [0.000, 0.000, 0.500]],
  "polymorph_energy_mev_per_atom": 684.5,
  "total_magnetization_mub_per_atom": 0.34,
  "volume_a3_per_atom": 16.27
}

{
  "formula": "ZnRhS2N",
  "functional": "PBE-GGA",
  "state": "optimized geometry",
  "lattice_angstrom": [[4.899, 0.000, 0.000], [0.000, 4.899, 0.000], [0.000, 0.000, 3.615]],
  "species": ["Zn", "Rh", "S", "S", "N"],
  "frac_coords": [[0.500, 0.500, 0.500], [0.000, 0.000, 0.000], [0.000, 0.500, 0.000], [0.500, 0.000, 0.000], [0.000, 0.000, 0.500]],
  "polymorph_energy_mev_per_atom": 0.0,
  "total_magnetization_mub_per_atom": 0.00,
  "volume_a3_per_atom": 17.35
}

{
  "formula": "Zr2RhSN",
  "functional": "PBE-GGA",
  "state": "optimized geometry",
  "lattice_angstrom": [[-3.787, 2.013, 1.231], [-1.749, -3.629, 0.555], [1.373, -0.013, 4.245]],
  "species": ["S", "Rh", "Zr", "Zr", "N"],
  "frac_coords": [[0.000, 0.500, 0.000], [0.500, 0.500, 0.500], [0.000, 0.000, 0.500], [0.500, 0.000, 0.000], [0.000, 0.000, 0.000]],
  "total_magnetization_mub_per_atom": 0.00,
  "volume_a3_per_atom": 16.19
}

{
  "formula": "ZrRhS2N",
  "functional": "PBE-GGA",
  "state": "optimized geometry",
  "lattice_angstrom": [[-1.827, -4.309, -1.818], [3.413, -2.563, 2.645], [-2.625, -0.224, 3.170]],
  "species": ["S", "S", "Rh", "Zr", "N"],
  "frac_coords": [[0.000, 0.500, 0.000], [0.500, 0.000, 0.000], [0.500, 0.500, 0.500], [0.000, 0.000, 0.000], [0.000, 0.000, 0.500]],
  "polymorph_energy_mev_per_atom": 372.0,
  "total_magnetization_mub_per_atom": 0.71,
  "volume_a3_per_atom": 20.78
}

{
  "formula": "ZrRhS2N",
  "functional": "PBE-GGA",
  "state": "optimized geometry",
  "lattice_angstrom": [[4.814, 0.000, 0.000], [0.000, 3.647, 0.000], [0.000, 0.000, 4.814]],
  "species": ["S", "S", "Rh", "Zr", "N"],
  "frac_coords": [[0.000, 0.000, 0.500], [0.500, 0.000, 0.000], [0.000, 0.000, 0.000], [0.500, 0.500, 0.500], [0.000, 0.500, 0.000]],
  "polymorph_energy_mev_per_atom": 0.0,
  "total_magnetization_mub_per_atom": 0.11,
  "volume_a3_per_atom": 16.91
}

{
  "formula": "Sb2RhN",
  "functional": "PBE-GGA",
  "state": "optimized geometry",
  "lattice_angstrom": [[-5.566, 1.144, -0.166], [-0.721, -4.073, -3.900], [-3.964, -4.913, 1.720]],
  "species": ["Sb", "Sb", "Sb", "Sb", "Rh", "Rh", "N", "N"],
  "frac_coords": [[0.584, 0.125, 0.250], [0.166, 0.625, 0.250], [0.375, 0.416, 0.750], [0.875, 0.834, 0.750], [0.000, 0.000, 0.000], [0.750, 0.250, 0.500], [0.500, 0.500, 0.000], [0.250, 0.750, 0.500]],
  "total_magnetization_mub_per_atom": 0.00,
  "volume_a3_per_atom": 20.85
}

{
  "formula": "SbRh3N",
  "functional": "PBE-GGA",
  "state": "optimized geometry",
  "lattice_angstrom": [[4.904, 0.000, 0.000], [0.000, 4.904, 0.000], [0.000, 0.000, 4.904]],
  "species": ["Sb", "Rh", "Rh", "Rh", "N"],
  "frac_coords": [[0.000, 0.000, 0.000], [0.000, 0.500, 0.000], [0.000, 0.000, 0.500], [0.500, 0.000, 0.000], [0.500, 0.500, 0.500]],
  "polymorph_energy_mev_per_atom": 1881.8,
  "total_magnetization_mub_per_atom": 0.76,
  "volume_a3_per_atom": 23.59
}

{
  "formula": "SbRh2N",
  "functional": "PBE-GGA",
  "state": "optimized geometry",
  "lattice_angstrom": [[-3.963, 1.725, -2.564], [-1.285, -4.712, -1.185], [-5.711, -1.800, 2.692]],
  "species": ["Sb", "Sb", "Rh", "Rh", "Rh", "Rh", "N", "N"],
  "frac_coords": [[0.000, 0.000, 0.000], [0.750, 0.250, 0.500], [0.510, 0.125, 0.250], [0.240, 0.625, 0.250], [0.375, 0.490, 0.750], [0.875, 0.760, 0.750], [0.500, 0.500, 0.000], [0.250, 0.750, 0.500]],
  "polymorph_energy_mev_per_atom": 0.0,
  "total_magnetization_mub_per_atom": 0.00,
  "volume_a3_per_atom": 17.43
}

| no. | N(E_F) (states/eV/cell) | raw formation energy (kcal/mol of atoms) |
| --- | --- | --- |
| 1 | 5.75 | 28.39 |
| 2 | 3.54 | 1.34 |
| 3 | 2.42 | 21.18 |
| 4 | 5.32 | 39.03 |
| 5 | 3.22 | 27.65 |
| 6 | 2.15 | 11.87 |
| 7 | 3.93 | -7.67 |
| 8 | 6.96 | 9.59 |
| 9 | 3.73 | 1.01 |
| 10 | 0.78 | 6.46 |
| 11 | 5.81 | 48.11 |
| 12 | 2.86 | 2.45 |